CrMoCl2: relaxed, PBE-GGA.

- Excess energy over the best structure of this formula in the dataset: 840 meV/atom
- E: -5.422 eV per atom
- Mass density: 5.6 g/cm³
- E_form (uncorrected): 59.37 kJ/mol of atoms

abc: 4.5112 4.5112 4.5112
angles: 60.00 60.00 60.00
Site moments in Bohr magnetons follow the coordinates.
Atoms (fractional coordinates):
Cl 0.7500 0.7500 0.7500  0.00
Cl 0.2500 0.2500 0.2500  0.00
Mo 0.5000 0.5000 0.5000  -2.04
Cr 0.0000 0.0000 0.0000  3.71